Computed, not measured: a geometry-optimized DyPaFe2O6 structure at the PBE with a Hubbard U level of DFT. Values from VASP.

Output
E: -81.22 eV for the cell shown
Mass density: 7.2 g/cm³
Density of states at the Fermi level: 0.00 states/eV/f.u.
Volume: 139 Å³ per cell
Space group: C2/m, No. 12

```
&SYSTEM
  ibrav = 0, nat = 10, ntyp = 4
/
ATOMIC_SPECIES
Dy 162.50 Dy.upf
Pa 231.04 Pa.upf
Fe 55.84 Fe.upf
O 16.00 O.upf
CELL_PARAMETERS angstrom
4.987 -3.019 0.000
4.987 3.019 0.000
-2.978 0.000 4.601
ATOMIC_POSITIONS crystal
Dy 0.000 0.000 0.000
Pa 0.500 0.500 0.500
Fe 0.250 0.250 0.802
Fe 0.750 0.750 0.198
O 0.157 0.651 0.161
O 0.258 0.258 0.450
O 0.349 0.843 0.839
O 0.651 0.157 0.161
O 0.742 0.742 0.550
O 0.843 0.349 0.839
```